1.
A plane-wave DFT calculation with PBE was carried out for a geometry-optimized LuNiHgAs structure.

Lattice parameters (Å, degrees): 4.7335 4.7335 4.7335 60.00 60.00 60.00
Element x y z (fractional)
1 As 0.0000 0.0000 0.0000
2 Hg 0.5000 0.5000 0.5000
3 Lu 0.2500 0.2500 0.2500
4 Ni 0.7500 0.7500 0.7500

## Properties
**Energy**: -4.057 eV per atom
**Spin magnetization**: 0.01 μB/cell
**Distance to the lowest polymorph of the same formula**: 0.0 meV per atom



2.
A plane-wave DFT calculation with PBE was carried out for a geometry-optimized LuHgTe3As structure.

Lattice parameters (Å, degrees): 8.0094 8.0094 11.5803 90.00 90.00 147.67
Element x y z (fractional)
1 As 0.9563 0.0437 0.2500
2 As 0.0437 0.9563 0.7500
3 Hg 0.2348 0.7652 0.2500
4 Hg 0.7652 0.2348 0.7500
5 Lu 0.5000 0.5000 0.0000
6 Lu 0.5000 0.5000 0.5000
7 Te 0.8661 0.1339 0.0444
8 Te 0.5701 0.4299 0.2500
9 Te 0.8661 0.1339 0.4556
10 Te 0.1339 0.8661 0.5444
11 Te 0.4299 0.5701 0.7500
12 Te 0.1339 0.8661 0.9556

## Properties
**Energy**: -3.593 eV per atom
**Spin magnetization**: 0.00 μB/cell



3.
A plane-wave DFT calculation with PBE was carried out for a geometry-optimized MgSi2HgAs4 structure.

Lattice parameters (Å, degrees): 6.9433 6.9433 6.9433 129.22 129.22 74.66
Element x y z (fractional)
1 As 0.1598 0.6184 0.0328
2 As 0.8731 0.8402 0.4586
3 As 0.3816 0.4144 0.5414
4 As 0.5856 0.1269 0.9672
5 Hg 0.0000 0.0000 0.0000
6 Mg 0.7500 0.2500 0.5000
7 Si 0.5000 0.5000 0.0000
8 Si 0.2500 0.7500 0.5000

## Properties
**Energy**: -4.072 eV per atom